[1]
Below is an optimized crystal structure of TiV2FeW, with properties calculated at the GGA-PBE level.

Unit cell a=4.2404 b=4.2404 c=4.3925 alpha=90.00 beta=90.00 gamma=90.00
Last column: nearest neighbours and their distance in Å.
Positions (direct):
Ti (0.0000, 0.0000, 0.0000)  2 Fe 2.20
V (0.0000, 0.5000, 0.5000)  2 Fe 2.12
V (0.5000, 0.0000, 0.5000)  2 Fe 2.12
Fe (0.0000, 0.0000, 0.5000)  4 V 2.12, 2 Ti 2.20
W (0.5000, 0.5000, 0.0000)  4 Ti 3.00, 8 V 3.05

Output
**Space group**: P4/mmm
**E_form**: 0.8173 eV/atom
**V**: 79.0 Å³/cell

[2]
Below is an optimized crystal structure of TiVFe2W, with properties calculated at the GGA-PBE level.

Unit cell a=4.4723 b=4.4723 c=4.5046 alpha=90.00 beta=90.00 gamma=90.00
Last column: nearest neighbours and their distance in Å.
Positions (direct):
Ti (0.0000, 0.0000, 0.0000)  4 V 3.16, 8 Fe 3.17
V (0.5000, 0.5000, 0.0000)  2 W 2.25
Fe (0.0000, 0.5000, 0.5000)  2 W 2.24
Fe (0.5000, 0.0000, 0.5000)  2 W 2.24
W (0.5000, 0.5000, 0.5000)  4 Fe 2.24, 2 V 2.25

Output
**Space group**: P4/mmm
**E_form**: 1.3210 eV/atom
**V**: 90.1 Å³/cell

[3]
Below is an optimized crystal structure of TiVZnFe2, with properties calculated at the GGA-PBE level.

Unit cell a=4.2732 b=4.2732 c=4.4866 alpha=90.00 beta=90.00 gamma=90.00
Last column: nearest neighbours and their distance in Å.
Positions (direct):
Ti (0.0000, 0.0000, 0.0000)  2 Zn 2.24
V (0.5000, 0.5000, 0.0000)  4 Ti 3.02, 8 Fe 3.10
Zn (0.0000, 0.0000, 0.5000)  4 Fe 2.14, 2 Ti 2.24
Fe (0.0000, 0.5000, 0.5000)  2 Zn 2.14
Fe (0.5000, 0.0000, 0.5000)  2 Zn 2.14

Output
**Space group**: P4/mmm
**E_form**: 1.3731 eV/atom
**V**: 81.9 Å³/cell

[4]
Below is an optimized crystal structure of Ti3FeW, with properties calculated at the GGA-PBE level.

Unit cell a=4.3974 b=4.3974 c=4.3974 alpha=90.00 beta=90.00 gamma=90.00
Last column: nearest neighbours and their distance in Å.
Positions (direct):
Ti (0.0000, 0.0000, 0.5000)  2 Fe 2.20
Ti (0.0000, 0.5000, 0.0000)  2 Fe 2.20
Ti (0.5000, 0.0000, 0.0000)  2 Fe 2.20
Fe (0.0000, 0.0000, 0.0000)  6 Ti 2.20
W (0.5000, 0.5000, 0.5000)  12 Ti 3.11

Output
**Energy above the most stable polymorph in this dataset**: 0 meV/atom
**Space group**: Pm-3m
**E_form**: 0.6084 eV/atom
**V**: 85.0 Å³/cell

[5]
Below is an optimized crystal structure of TiFeW2, with properties calculated at the GGA-PBE level.

Unit cell a=4.3400 b=4.3400 c=4.3400 alpha=60.00 beta=60.00 gamma=60.00
Last column: nearest neighbours and their distance in Å.
Positions (direct):
Ti (0.0000, 0.0000, 0.0000)  8 W 2.66
Fe (0.5000, 0.5000, 0.5000)  8 W 2.66
W (0.2500, 0.2500, 0.2500)  4 Fe 2.66, 4 Ti 2.66
W (0.7500, 0.7500, 0.7500)  4 Fe 2.66, 4 Ti 2.66

Output
**Energy above the most stable polymorph in this dataset**: 0 meV/atom
**Space group**: Fm-3m
**E_form**: 0.1656 eV/atom
**V**: 57.8 Å³/cell

[6]
Below is an optimized crystal structure of Ti5Fe4W, with properties calculated at the GGA-PBE level.

Unit cell a=2.9837 b=2.9837 c=15.2503 alpha=90.00 beta=90.00 gamma=90.00
Last column: nearest neighbours and their distance in Å.
Positions (direct):
Ti (0.0000, 0.0000, 0.0000)  8 Fe 2.57
Ti (0.0000, 0.0000, 0.1934)  8 Fe 2.56-2.58
Ti (0.0000, 0.0000, 0.3867)  4 Fe 2.59, 4 W 2.73
Ti (0.0000, 0.0000, 0.6133)  4 Fe 2.59, 4 W 2.73
Ti (0.0000, 0.0000, 0.8066)  8 Fe 2.56-2.58
Fe (0.5000, 0.5000, 0.0961)  8 Ti 2.57-2.58
Fe (0.5000, 0.5000, 0.2883)  8 Ti 2.56-2.59
Fe (0.5000, 0.5000, 0.7117)  8 Ti 2.56-2.59
Fe (0.5000, 0.5000, 0.9039)  8 Ti 2.57-2.58
W (0.5000, 0.5000, 0.5000)  8 Ti 2.73, 4 W 2.98

Output
**Space group**: P4/mmm
**E_form**: -0.3007 eV/atom
**V**: 135.8 Å³/cell